# 1
LiSc2MnS4 after structural relaxation, computed with PBE.

a = 3.6784 Å, b = 6.3708 Å, c = 6.3337 Å
α = 109.43°, β = 90.00°, γ = 90.00°
With the nearest neighbours (Å) after each atom.
Sites, in units of the cell vectors:
Mn  0.0000  0.0000  0.0000  6 S 2.58-2.59
Sc  0.5000  0.0000  0.5000  6 S 2.59-2.60
S  0.5000  0.2483  0.2470  2 Mn 2.59, 1 Li 2.59, 3 Sc 2.60-2.61
S  0.0000  0.7519  0.2503  1 Mn 2.58, 3 Sc 2.59-2.60, 2 Li 2.60
Li  0.5000  0.5000  0.0000  6 S 2.59-2.60
Sc  0.0000  0.5000  0.5000  6 S 2.60-2.61
S  0.5000  0.7517  0.7530  2 Mn 2.59, 1 Li 2.59, 3 Sc 2.60-2.61
S  0.0000  0.2481  0.7497  1 Mn 2.58, 3 Sc 2.59-2.60, 2 Li 2.60

Summary:
* E: -52.3 eV/f.u.
* theoretical density: 3.3 Mg/m³
* magnetic moment: 4.2 μB per cell
* uncorrected formation energy: -1501.0 meV per atom


# 2
LiSc4MnS8 after structural relaxation, computed with PBE.

a = 7.5378 Å, b = 7.5378 Å, c = 7.4427 Å
α = 59.58°, β = 59.58°, γ = 60.00°
With the nearest neighbours (Å) after each atom.
Sites, in units of the cell vectors:
Li  0.3752  0.3752  0.8744  4 S 2.39-2.46
S  0.2207  0.7663  0.2467  3 Sc 2.47-2.64, 1 Mn 2.55
S  0.2362  0.7749  0.7526  1 Mn 2.43, 1 Li 2.46, 2 Sc 2.54
Sc  0.6219  0.6219  0.1342  4 S 2.44-2.47
S  0.7663  0.2207  0.2467  3 Sc 2.47-2.64, 1 Mn 2.55
Sc  0.0050  0.0050  0.5049  6 S 2.53-2.64
Sc  0.0050  0.4850  0.5049  6 S 2.53-2.64
S  0.2435  0.2435  0.2696  1 Li 2.39, 3 Sc 2.53
S  0.2362  0.2362  0.7526  1 Mn 2.43, 1 Li 2.46, 2 Sc 2.54
S  0.7566  0.7566  0.7302  4 Sc 2.44-2.64
Mn  0.0071  0.0071  0.9788  6 S 2.43-2.55
S  0.7749  0.2362  0.7526  1 Mn 2.43, 1 Li 2.46, 2 Sc 2.54
Sc  0.4850  0.0050  0.5049  6 S 2.53-2.64
S  0.7663  0.7663  0.2467  3 Sc 2.47-2.64, 1 Mn 2.55

Summary:
* E: -91.2 eV/f.u.
* theoretical density: 2.8 Mg/m³
* magnetic moment: 4.0 μB per cell
* uncorrected formation energy: -1557.9 meV per atom


# 3
LiSm2MnS5 after structural relaxation, computed with PBE.

a = 3.9117 Å, b = 8.7124 Å, c = 10.6764 Å
α = 90.00°, β = 90.00°, γ = 102.97°
With the nearest neighbours (Å) after each atom.
Sites, in units of the cell vectors:
Sm  0.1119  0.2238  0.3052  8 S 2.86-3.20
S  0.3126  0.6253  0.6502  1 Mn 2.38, 2 Li 2.60
Sm  0.1225  0.2450  0.6859  7 S 2.83-2.97
S  0.7011  0.4021  0.8402  1 Mn 2.38, 2 Li 2.62
S  0.9662  0.9325  0.5617  2 Mn 2.36
S  0.3591  0.7181  0.9971  1 Li 2.33
Li  0.7783  0.5565  0.4998  3 S 2.33-2.60
S  0.5182  0.0363  0.7995  1 Mn 2.36
Li  0.2217  0.4435  0.9998  3 S 2.33-2.60
Mn  0.4059  0.8118  0.4844  5 S 2.36-2.38
Sm  0.8775  0.7550  0.1859  7 S 2.83-2.97
S  0.2989  0.5979  0.3402  1 Mn 2.38, 2 Li 2.62
S  0.0338  0.0675  0.0617  2 Mn 2.36
S  0.6409  0.2819  0.4971  1 Li 2.33
Sm  0.8881  0.7762  0.8052  8 S 2.86-3.20
Mn  0.5941  0.1882  0.9844  5 S 2.36-2.38
S  0.4818  0.9637  0.2995  1 Mn 2.36
S  0.6874  0.3747  0.1502  1 Mn 2.38, 2 Li 2.60

Summary:
* E: -55.0 eV/f.u.
* theoretical density: 4.9 Mg/m³
* magnetic moment: 8.0 μB per cell
* uncorrected formation energy: -1538.3 meV per atom


# 4
LiSm2MnS4 after structural relaxation, computed with PBE.

a = 3.8926 Å, b = 6.6603 Å, c = 6.1360 Å
α = 111.47°, β = 90.00°, γ = 90.00°
With the nearest neighbours (Å) after each atom.
Sites, in units of the cell vectors:
S  0.5000  0.2246  0.2020  2 Mn 2.49, 1 Li 2.56, 1 Sm 2.75
Sm  0.0000  0.5000  0.5000  6 S 2.80-2.84
S  0.5000  0.7754  0.7980  2 Mn 2.49, 1 Li 2.56, 1 Sm 2.75
S  0.0000  0.2531  0.7843  1 Mn 2.50, 2 Li 2.58, 2 Sm 2.74
S  0.0000  0.7469  0.2157  1 Mn 2.50, 2 Li 2.58, 2 Sm 2.74
Li  0.5000  0.5000  0.0000  6 S 2.56-2.58
Sm  0.5000  0.0000  0.5000  6 S 2.74-2.75
Mn  0.0000  0.0000  0.0000  6 S 2.49-2.50

Summary:
* E: -47.8 eV/f.u.
* theoretical density: 5.5 Mg/m³
* magnetic moment: 0.0 μB per cell
* uncorrected formation energy: -1345.7 meV per atom


# 5
Li2MnSnS4 after structural relaxation, computed with PBE.

a = 3.6628 Å, b = 6.4279 Å, c = 6.4998 Å
α = 109.45°, β = 90.00°, γ = 90.00°
With the nearest neighbours (Å) after each atom.
Sites, in units of the cell vectors:
Li  0.0000  0.5000  0.5000  6 S 2.65-2.70
S  0.5000  0.2384  0.2291  2 Mn 2.53, 1 Sn 2.59, 3 Li 2.69-2.70
S  0.0000  0.2485  0.7510  3 Li 2.61-2.65, 2 Sn 2.62, 1 Mn 2.63
Sn  0.5000  0.5000  0.0000  6 S 2.59-2.62
Mn  0.0000  0.0000  0.0000  6 S 2.53-2.63
S  0.5000  0.7616  0.7709  2 Mn 2.53, 1 Sn 2.59, 3 Li 2.69-2.70
S  0.0000  0.7515  0.2490  3 Li 2.61-2.65, 2 Sn 2.62, 1 Mn 2.63
Li  0.5000  0.0000  0.5000  6 S 2.61-2.69

Summary:
* E: -39.8 eV/f.u.
* ΔE to the lowest computed polymorph: 5.3 kJ per mole of atoms
* theoretical density: 3.6 Mg/m³
* magnetic moment: 4.5 μB per cell
* uncorrected formation energy: -791.0 meV per atom


# 6
Li2MnSnS4 after structural relaxation, computed with PBE.

a = 6.8765 Å, b = 6.4862 Å, c = 10.3186 Å
α = 51.22°, β = 90.00°, γ = 90.00°
With the nearest neighbours (Å) after each atom.
Sites, in units of the cell vectors:
S  0.8399  0.2994  0.4735  1 Mn 2.41, 1 Sn 2.43, 2 Li 2.47-2.49
Li  0.8331  0.9130  0.4792  4 S 2.45-2.47
Sn  0.3294  0.6670  0.7273  4 S 2.43
S  0.3225  0.0454  0.7241  1 Mn 2.39, 1 Sn 2.43, 2 Li 2.45-2.46
S  0.6629  0.5410  0.7307  1 Mn 2.41, 1 Sn 2.43, 2 Li 2.47
S  0.6775  0.0454  0.2241  1 Mn 2.39, 1 Sn 2.43, 2 Li 2.45-2.46
Li  0.3385  0.1645  0.2258  4 S 2.46-2.49
S  0.1601  0.2994  0.9735  1 Mn 2.41, 1 Sn 2.43, 2 Li 2.47-2.49
Li  0.1669  0.9130  0.9792  4 S 2.45-2.47
Li  0.6615  0.1645  0.7258  4 S 2.46-2.49
Sn  0.6706  0.6670  0.2273  4 S 2.43
Mn  0.8289  0.4181  0.9758  4 S 2.39-2.41
S  0.8302  0.7865  0.9787  1 Mn 2.41, 1 Sn 2.43, 2 Li 2.46-2.48
Mn  0.1711  0.4181  0.4758  4 S 2.39-2.41
S  0.3371  0.5410  0.2307  1 Mn 2.41, 1 Sn 2.43, 2 Li 2.47
S  0.1698  0.7865  0.4787  1 Mn 2.41, 1 Sn 2.43, 2 Li 2.46-2.48

Summary:
* E: -40.3 eV/f.u.
* ΔE to the lowest computed polymorph: 0.0 kJ per mole of atoms
* theoretical density: 2.9 Mg/m³
* magnetic moment: 10.0 μB per cell
* uncorrected formation energy: -846.0 meV per atom